Run a
# LiRh2Au GGA-PBE relaxed
# total magnetization: 0.236 μB per atom
data_LiRh2Au
_chemical_formula_sum 'Li1 Rh2 Au1'
_cell_length_a 2.782
_cell_length_b 4.543
_cell_length_c 4.725
_cell_angle_alpha 90.00
_cell_angle_beta 90.00
_cell_angle_gamma 90.00
_symmetry_space_group_name_H-M 'P m m m'
_symmetry_Int_Tables_number 47
loop_
_symmetry_equiv_pos_as_xyz
'x,y,z'
'-x,-y,-z'
'-x,-y,z'
'x,y,-z'
'x,-y,-z'
'-x,y,z'
'-x,y,-z'
'x,-y,z'
loop_
_atom_site_label
_atom_site_type_symbol
_atom_site_fract_x
_atom_site_fract_y
_atom_site_fract_z
Li1 Li 0.000 0.000 0.000
Rh1 Rh 0.000 0.500 0.500
Rh2 Rh 0.500 0.000 0.500
Au1 Au 0.500 0.500 0.000

=====

Run b
# LiRh2Au GGA-PBE relaxed
# total magnetization: 0.000 μB per atom
data_LiRh2Au
_chemical_formula_sum 'Li2 Rh4 Au2'
_cell_length_a 5.338
_cell_length_b 8.135
_cell_length_c 2.724
_cell_angle_alpha 90.00
_cell_angle_beta 90.00
_cell_angle_gamma 90.00
_symmetry_space_group_name_H-M 'C m m m'
_symmetry_Int_Tables_number 65
_symmetry_space_group_name_Hall '-C 2 2'
loop_
_atom_site_label
_atom_site_type_symbol
_atom_site_fract_x
_atom_site_fract_y
_atom_site_fract_z
Li1 Li 0.000 0.000 0.000
Rh1 Rh 0.250 0.250 0.500
Au1 Au 0.000 0.500 0.000

=====

Which of them is least stable? Easy: run b.

=====

Run a
# LiRh2Au GGA-PBE relaxed
# total magnetization: 0.237 μB per atom
data_LiRh2Au
_chemical_formula_sum 'Li1 Rh2 Au1'
_cell_length_a 2.995
_cell_length_b 2.995
_cell_length_c 6.368
_cell_angle_alpha 90.00
_cell_angle_beta 90.00
_cell_angle_gamma 90.00
_symmetry_space_group_name_H-M 'P 4/m m m'
_symmetry_Int_Tables_number 123
_symmetry_space_group_name_Hall '-P 4 2'
loop_
_atom_site_label
_atom_site_type_symbol
_atom_site_fract_x
_atom_site_fract_y
_atom_site_fract_z
Li1 Li 0.000 0.000 0.000
Rh1 Rh 0.500 0.500 0.211
Au1 Au 0.000 0.000 0.500

=====

Run b
# LiRh2Au GGA-PBE relaxed
# total magnetization: 0.269 μB per atom
data_LiRh2Au
_chemical_formula_sum 'Li3 Rh6 Au3'
_cell_length_a 2.7512
_cell_length_b 2.7512
_cell_length_c 27.5995
_cell_angle_alpha 90.00
_cell_angle_beta 90.00
_cell_angle_gamma 120.00
_symmetry_space_group_name_H-M 'R -3 m'
_symmetry_Int_Tables_number 166
_symmetry_space_group_name_Hall '-R 3 2"'
loop_
_atom_site_label
_atom_site_type_symbol
_atom_site_fract_x
_atom_site_fract_y
_atom_site_fract_z
Li1 Li 0.0000 0.0000 0.0000
Rh1 Rh 0.0000 0.0000 0.2548
Au1 Au 0.0000 0.0000 0.5000

=====

Run c
# LiRh2Au GGA-PBE relaxed
# total magnetization: 0.001 μB per atom
data_LiRh2Au
_chemical_formula_sum 'Li2 Rh4 Au2'
_cell_length_a 5.331
_cell_length_b 9.406
_cell_length_c 2.725
_cell_angle_alpha 90.00
_cell_angle_beta 119.02
_cell_angle_gamma 90.00
_symmetry_space_group_name_H-M 'C 1 2/m 1'
_symmetry_Int_Tables_number 12
loop_
_symmetry_equiv_pos_as_xyz
'x,y,z'
'-x,-y,-z'
'-x,y,-z'
'x,-y,z'
'x+1/2,y+1/2,z'
'-x+1/2,-y+1/2,-z'
'-x+1/2,y+1/2,-z'
'x+1/2,-y+1/2,z'
loop_
_atom_site_label
_atom_site_type_symbol
_atom_site_fract_x
_atom_site_fract_y
_atom_site_fract_z
Li1 Li 0.000 0.000 0.000
Rh1 Rh 0.250 0.250 0.500
Au1 Au 0.000 0.500 0.000

=====

Which of them is least stable? Easy: run a.

=====

Run a
# LiRu2Au GGA-PBE relaxed
# total magnetization: 0.245 μB per atom
data_LiRu2Au
_chemical_formula_sum 'Li3 Ru6 Au3'
_cell_length_a 2.7258
_cell_length_b 2.7258
_cell_length_c 28.1376
_cell_angle_alpha 90.00
_cell_angle_beta 90.00
_cell_angle_gamma 120.00
_symmetry_space_group_name_H-M 'R -3 m'
_symmetry_Int_Tables_number 166
_symmetry_space_group_name_Hall '-R 3 2"'
loop_
_atom_site_label
_atom_site_type_symbol
_atom_site_fract_x
_atom_site_fract_y
_atom_site_fract_z
Li1 Li 0.0000 0.0000 0.0000
Ru1 Ru 0.0000 0.0000 0.2527
Au1 Au 0.0000 0.0000 0.5000

=====

Run b
# LiRu2Au GGA-PBE relaxed
# total magnetization: 0.000 μB per atom
data_LiRu2Au
_chemical_formula_sum 'Li1 Ru2 Au1'
_cell_length_a 2.754
_cell_length_b 3.785
_cell_length_c 5.634
_cell_angle_alpha 90.00
_cell_angle_beta 90.24
_cell_angle_gamma 90.00
_symmetry_space_group_name_H-M 'P 1 m 1'
_symmetry_Int_Tables_number 6
loop_
_symmetry_equiv_pos_as_xyz
'x,y,z'
'x,-y,z'
loop_
_atom_site_label
_atom_site_type_symbol
_atom_site_fract_x
_atom_site_fract_y
_atom_site_fract_z
Li1 Li 0.000 0.000 0.000
Ru1 Ru 0.001 0.000 0.529
Ru2 Ru 0.502 0.500 0.717
Au1 Au 0.500 0.500 0.213

=====

Which of them is least stable? Easy: run a.

=====

Run a
# LiRu2Au GGA-PBE relaxed
# total magnetization: 0.000 μB per atom
data_LiRu2Au
_chemical_formula_sum 'Li1 Ru2 Au1'
_cell_length_a 2.804
_cell_length_b 2.804
_cell_length_c 7.484
_cell_angle_alpha 90.00
_cell_angle_beta 90.00
_cell_angle_gamma 90.00
_symmetry_space_group_name_H-M 'P 4 m m'
_symmetry_Int_Tables_number 99
loop_
_symmetry_equiv_pos_as_xyz
'x,y,z'
'-y,x,z'
'-x,-y,z'
'y,-x,z'
'-x,y,z'
'y,x,z'
'x,-y,z'
'-y,-x,z'
loop_
_atom_site_label
_atom_site_type_symbol
_atom_site_fract_x
_atom_site_fract_y
_atom_site_fract_z
Li1 Li 0.000 0.000 0.000
Ru1 Ru 0.000 0.000 0.470
Ru2 Ru 0.500 0.500 0.255
Au1 Au 0.500 0.500 0.760

=====

Run b
# LiRu2Au GGA-PBE relaxed
# total magnetization: 0.000 μB per atom
data_LiRu2Au
_chemical_formula_sum 'Li2 Ru4 Au2'
_cell_length_a 8.744
_cell_length_b 2.721
_cell_length_c 4.990
_cell_angle_alpha 90.00
_cell_angle_beta 97.29
_cell_angle_gamma 90.00
_symmetry_space_group_name_H-M 'C 1 m 1'
_symmetry_Int_Tables_number 8
loop_
_symmetry_equiv_pos_as_xyz
'x,y,z'
'x,-y,z'
'x+1/2,y+1/2,z'
'x+1/2,-y+1/2,z'
loop_
_atom_site_label
_atom_site_type_symbol
_atom_site_fract_x
_atom_site_fract_y
_atom_site_fract_z
Li1 Li 0.000 0.000 0.000
Ru1 Ru 0.005 0.500 0.474
Ru2 Ru 0.261 0.500 0.308
Au1 Au 0.250 0.000 0.813

=====

Which of them is least stable? Easy: run b.

=====

Run a
# LiRu2Au GGA-PBE relaxed
# total magnetization: 0.000 μB per atom
data_LiRu2Au
_chemical_formula_sum 'Li2 Ru4 Au2'
_cell_length_a 9.504
_cell_length_b 2.764
_cell_length_c 4.523
_cell_angle_alpha 90.00
_cell_angle_beta 98.33
_cell_angle_gamma 90.00
_symmetry_space_group_name_H-M 'C 1 2/m 1'
_symmetry_Int_Tables_number 12
loop_
_symmetry_equiv_pos_as_xyz
'x,y,z'
'-x,-y,-z'
'-x,y,-z'
'x,-y,z'
'x+1/2,y+1/2,z'
'-x+1/2,-y+1/2,-z'
'-x+1/2,y+1/2,-z'
'x+1/2,-y+1/2,z'
loop_
_atom_site_label
_atom_site_type_symbol
_atom_site_fract_x
_atom_site_fract_y
_atom_site_fract_z
Li1 Li 0.000 0.000 0.000
Ru1 Ru 0.240 0.000 0.762
Au1 Au 0.000 0.500 0.500

=====

Run b
# LiRu2Au GGA-PBE relaxed
# total magnetization: 0.183 μB per atom
data_LiRu2Au
_chemical_formula_sum 'Li2 Ru4 Au2'
_cell_length_a 2.807
_cell_length_b 4.658
_cell_length_c 9.302
_cell_angle_alpha 90.00
_cell_angle_beta 90.00
_cell_angle_gamma 90.00
_symmetry_space_group_name_H-M 'C m m 2'
_symmetry_Int_Tables_number 35
loop_
_symmetry_equiv_pos_as_xyz
'x,y,z'
'-x,-y,z'
'-x,y,z'
'x,-y,z'
'x+1/2,y+1/2,z'
'-x+1/2,-y+1/2,z'
'-x+1/2,y+1/2,z'
'x+1/2,-y+1/2,z'
loop_
_atom_site_label
_atom_site_type_symbol
_atom_site_fract_x
_atom_site_fract_y
_atom_site_fract_z
Li1 Li 0.000 0.000 0.000
Ru1 Ru 0.000 0.000 0.524
Ru2 Ru 0.000 0.500 0.755
Au1 Au 0.000 0.500 0.245

=====

Which of them is least stable? Easy: run b.

=====

Run a
# LiRu2Au GGA-PBE relaxed
# total magnetization: 0.001 μB per atom
data_LiRu2Au
_chemical_formula_sum 'Li2 Ru4 Au2'
_cell_length_a 5.227
_cell_length_b 9.632
_cell_length_c 2.681
_cell_angle_alpha 90.00
_cell_angle_beta 118.34
_cell_angle_gamma 90.00
_symmetry_space_group_name_H-M 'C 1 2/m 1'
_symmetry_Int_Tables_number 12
loop_
_symmetry_equiv_pos_as_xyz
'x,y,z'
'-x,-y,-z'
'-x,y,-z'
'x,-y,z'
'x+1/2,y+1/2,z'
'-x+1/2,-y+1/2,-z'
'-x+1/2,y+1/2,-z'
'x+1/2,-y+1/2,z'
loop_
_atom_site_label
_atom_site_type_symbol
_atom_site_fract_x
_atom_site_fract_y
_atom_site_fract_z
Li1 Li 0.000 0.000 0.000
Ru1 Ru 0.250 0.250 0.500
Au1 Au 0.000 0.500 0.000

=====

Run b
# LiRu2Au GGA-PBE relaxed
# total magnetization: 0.000 μB per atom
data_LiRu2Au
_chemical_formula_sum 'Li2 Ru4 Au2'
_cell_length_a 3.654
_cell_length_b 3.654
_cell_length_c 8.677
_cell_angle_alpha 90.00
_cell_angle_beta 90.00
_cell_angle_gamma 90.00
_symmetry_space_group_name_H-M 'I 4/m m m'
_symmetry_Int_Tables_number 139
_symmetry_space_group_name_Hall '-I 4 2'
loop_
_atom_site_label
_atom_site_type_symbol
_atom_site_fract_x
_atom_site_fract_y
_atom_site_fract_z
Li1 Li 0.000 0.000 0.000
Ru1 Ru 0.000 0.500 0.250
Au1 Au 0.000 0.000 0.500

=====

Which of them is least stable? Easy: run b.